Entry 1:
Li3MoF9 after structural relaxation. Source: Alexandria via LeMat-Bulk, functional GGA+U.

## Properties
- Density: 2.1 g cm⁻³
- Total energy: -0.1727 Ha/atom
- Space group: Cc, No. 9
- Volume: 17.2 A^3/atom

abc: 7.649 8.273 8.982
angles: 69.89 64.80 62.47
Site moments in Bohr magnetons follow the coordinates.
Sites, in units of the cell vectors:
Li 0.773 0.522 0.665  0.00
Li 0.039 0.022 0.165  0.00
Li 0.965 0.979 0.824  0.00
Li 0.232 0.479 0.324  0.00
Li 0.561 0.251 0.744  0.00
Li 0.445 0.751 0.244  0.00
Mo 0.003 0.500 0.995  -0.02
Mo 0.502 0.000 0.495  -0.02
F 0.399 0.178 0.326  0.00
F 0.097 0.678 0.826  0.00
F 0.242 0.309 0.900  0.00
F 0.549 0.809 0.400  0.00
F 0.233 0.006 0.625  0.00
F 0.136 0.506 0.125  0.00
F 0.763 0.692 0.089  0.00
F 0.456 0.192 0.589  0.00
F 0.772 0.995 0.364  0.00
F 0.869 0.495 0.864  0.00
F 0.606 0.823 0.663  0.00
F 0.908 0.323 0.163  0.00
F 0.457 0.528 0.259  0.06
F 0.756 0.028 0.759  0.06
F 0.549 0.473 0.729  0.06
F 0.249 0.973 0.229  0.06
F 0.002 0.001 0.995  0.05
F 0.003 0.501 0.495  0.05

---

Entry 2:
Li2MoF6 after structural relaxation. Source: Alexandria via LeMat-Bulk, functional GGA+U.

## Properties
- Density: 3.5 g cm⁻³
- Total energy: -0.1916 Ha/atom
- Space group: P4_2/mnm, No. 136
- Volume: 11.9 A^3/atom

abc: 4.787 4.787 9.331
angles: 90.00 90.00 90.00
Site moments in Bohr magnetons follow the coordinates.
Sites, in units of the cell vectors:
Li 0.000 0.000 0.335  0.00
Li 0.000 0.000 0.665  0.00
Li 0.500 0.500 0.165  0.00
Li 0.500 0.500 0.835  0.00
Mo 0.500 0.500 0.500  1.88
Mo 0.000 0.000 0.000  1.88
F 0.706 0.706 0.000  0.01
F 0.794 0.206 0.500  0.01
F 0.300 0.300 0.340  0.02
F 0.200 0.800 0.840  0.02
F 0.800 0.200 0.840  0.02
F 0.800 0.200 0.160  0.02
F 0.200 0.800 0.160  0.02
F 0.700 0.700 0.340  0.02
F 0.300 0.300 0.660  0.02
F 0.700 0.700 0.660  0.02
F 0.294 0.294 0.000  0.01
F 0.206 0.794 0.500  0.01

---

Entry 3:
LiMoF3 after structural relaxation. Source: Alexandria via LeMat-Bulk, functional GGA+U.

## Properties
- Relative energy among the computed polymorphs: 10 meV/atom
- Density: 4.9 g cm⁻³
- Space group: Pm-3m, No. 221
- Volume: 10.9 A^3/atom

abc: 3.794 3.794 3.794
angles: 90.00 90.00 90.00
Site moments in Bohr magnetons follow the coordinates.
Sites, in units of the cell vectors:
Mo 0.500 0.500 0.500  3.68
Li 0.000 0.000 0.000  0.00
F 0.000 0.500 0.000  -0.03
F 0.000 0.000 0.500  0.00
F 0.500 0.000 0.000  0.01

---

Entry 4:
LiMo2F2 after structural relaxation. Source: Alexandria via LeMat-Bulk, functional GGA+U.

## Properties
- Relative energy among the computed polymorphs: 584 meV/atom
- Density: 4.6 g cm⁻³
- Space group: I4/mmm, No. 139
- Volume: 17.0 A^3/atom

abc: 3.741 3.741 6.619
angles: 73.59 73.59 90.00
Site moments in Bohr magnetons follow the coordinates.
Sites, in units of the cell vectors:
Mo 0.750 0.250 0.500  1.78
Mo 0.250 0.750 0.500  1.78
Li 0.000 0.000 0.000  0.01
F 0.395 0.395 0.209  0.10
F 0.605 0.605 0.791  0.10

---

Entry 5:
LiMo3F after structural relaxation. Source: Alexandria via LeMat-Bulk, functional GGA+U.

## Properties
- Relative energy among the computed polymorphs: 0 meV/atom
- Density: 6.8 g cm⁻³
- Space group: Pm-3m, No. 221
- Volume: 15.3 A^3/atom

abc: 4.245 4.245 4.245
angles: 90.00 90.00 90.00
Sites, in units of the cell vectors:
Mo 0.000 0.500 0.000
Mo 0.000 0.000 0.500
Mo 0.500 0.000 0.000
Li 0.500 0.500 0.500
F 0.000 0.000 0.000

---

Entry 6:
LiMo3F after structural relaxation. Source: Alexandria via LeMat-Bulk, functional GGA+U.

## Properties
- Relative energy among the computed polymorphs: 179 meV/atom
- Density: 4.1 g cm⁻³
- Space group: Pm-3m, No. 221
- Volume: 25.2 A^3/atom

abc: 5.010 5.010 5.010
angles: 90.00 90.00 90.00
Site moments in Bohr magnetons follow the coordinates.
Sites, in units of the cell vectors:
Mo 0.000 0.500 0.000  3.87
Mo 0.000 0.000 0.500  4.02
Mo 0.500 0.000 0.000  3.83
Li 0.000 0.000 0.000  0.07
F 0.500 0.500 0.500  0.09

---

Entry 7:
Li2MoF8 after structural relaxation. Source: Alexandria via LeMat-Bulk, functional GGA+U.

## Properties
- Density: 3.0 g cm⁻³
- Total energy: -0.1713 Ha/atom
- Space group: P-3m1, No. 164
- Volume: 13.1 A^3/atom

abc: 4.119 6.353 6.350
angles: 120.03 89.99 90.00
Site moments in Bohr magnetons follow the coordinates.
Sites, in units of the cell vectors:
Li 0.282 0.333 0.667  0.00
Li 0.718 0.667 0.333  0.00
Mo 0.000 0.000 0.000  -0.43
F 0.224 0.667 0.333  0.16
F 0.776 0.333 0.667  0.16
F 0.750 0.857 0.143  0.01
F 0.250 0.143 0.287  0.01
F 0.250 0.713 0.856  0.01
F 0.250 0.143 0.857  0.01
F 0.750 0.857 0.713  0.01
F 0.750 0.287 0.144  0.01

---

Entry 8:
LiMoF3 after structural relaxation. Source: Alexandria via LeMat-Bulk, functional GGA+U.

## Properties
- Relative energy among the computed polymorphs: 0 meV/atom
- Density: 3.1 g cm⁻³
- Space group: Pm-3m, No. 221
- Volume: 17.0 A^3/atom

abc: 4.393 4.393 4.393
angles: 90.00 90.00 90.00
Site moments in Bohr magnetons follow the coordinates.
Sites, in units of the cell vectors:
Mo 0.000 0.000 0.000  3.38
Li 0.500 0.500 0.500  0.01
F 0.000 0.500 0.000  0.02
F 0.000 0.000 0.500  0.01
F 0.500 0.000 0.000  0.03

---

Entry 9:
LiMo2F6 after structural relaxation. Source: Alexandria via LeMat-Bulk, functional GGA+U.

## Properties
- Density: 4.2 g cm⁻³
- Total energy: -0.1962 Ha/atom
- Space group: P-3m1, No. 164
- Volume: 13.8 A^3/atom

abc: 4.685 9.569 9.569
angles: 120.00 90.00 90.00
Site moments in Bohr magnetons follow the coordinates.
Sites, in units of the cell vectors:
Li 0.497 0.667 0.333  0.00
Li 0.503 0.333 0.667  0.00
Li 0.000 0.000 0.000  0.00
Mo 0.000 0.000 0.349  2.34
Mo 0.000 0.651 0.651  2.34
Mo 0.000 0.349 0.000  2.34
Mo 0.000 0.000 0.651  2.34
Mo 0.000 0.349 0.349  2.34
Mo 0.000 0.651 0.000  2.34
F 0.273 0.875 0.438  0.03
F 0.273 0.562 0.125  0.03
F 0.273 0.562 0.438  0.03
F 0.727 0.438 0.562  0.03
F 0.727 0.438 0.875  0.03
F 0.727 0.125 0.562  0.03
F 0.773 0.452 0.226  0.03
F 0.773 0.774 0.548  0.03
F 0.773 0.774 0.226  0.03
F 0.784 0.765 0.883  0.02
F 0.784 0.117 0.235  0.02
F 0.784 0.117 0.883  0.02
F 0.216 0.883 0.117  0.02
F 0.216 0.883 0.765  0.02
F 0.216 0.235 0.117  0.02
F 0.227 0.548 0.774  0.03
F 0.227 0.226 0.452  0.03
F 0.227 0.226 0.774  0.03

---

Entry 10:
LiMo2F2 after structural relaxation. Source: Alexandria via LeMat-Bulk, functional GGA+U.

## Properties
- Relative energy among the computed polymorphs: 0 meV/atom
- Density: 6.2 g cm⁻³
- Space group: P4/mbm, No. 127
- Volume: 12.8 A^3/atom

abc: 5.349 5.349 4.464
angles: 90.00 90.00 90.00
Site moments in Bohr magnetons follow the coordinates.
Sites, in units of the cell vectors:
Mo 0.299 0.799 0.500  0.50
Mo 0.799 0.701 0.500  0.52
Mo 0.701 0.201 0.500  0.50
Mo 0.201 0.299 0.500  0.52
Li 0.000 0.000 0.000  -0.01
Li 0.500 0.500 0.000  -0.01
F 0.298 0.798 0.000  0.01
F 0.798 0.702 0.000  0.01
F 0.702 0.202 0.000  0.01
F 0.202 0.298 0.000  0.01

---

Entry 11:
LiMo2F8 after structural relaxation. Source: Alexandria via LeMat-Bulk, functional GGA+U.

## Properties
- Density: 4.0 g cm⁻³
- Total energy: -0.1955 Ha/atom
- Space group: C2/m, No. 12
- Volume: 13.1 A^3/atom

abc: 5.102 5.474 5.474
angles: 76.01 100.14 100.14
Site moments in Bohr magnetons follow the coordinates.
Sites, in units of the cell vectors:
Li 0.000 0.000 0.000  0.00
Mo 0.465 0.703 0.703  2.40
Mo 0.535 0.297 0.297  2.40
F 0.287 0.356 0.947  0.01
F 0.713 0.053 0.644  0.01
F 0.229 0.858 0.858  0.02
F 0.771 0.142 0.142  0.02
F 0.287 0.947 0.356  0.01
F 0.713 0.644 0.053  0.01
F 0.738 0.557 0.557  -0.01
F 0.262 0.443 0.443  -0.01

---

Entry 12:
Li3MoF7 after structural relaxation. Source: Alexandria via LeMat-Bulk, functional GGA+U.

## Properties
- Density: 3.3 g cm⁻³
- Total energy: -0.1876 Ha/atom
- Space group: Cm, No. 8
- Volume: 11.5 A^3/atom

abc: 5.116 5.116 5.704
angles: 70.23 70.23 98.71
Site moments in Bohr magnetons follow the coordinates.
Sites, in units of the cell vectors:
Li 0.787 0.253 0.470  0.00
Li 0.460 0.460 0.114  0.00
Li 0.253 0.787 0.470  0.00
Mo 0.962 0.962 0.013  1.90
F 0.135 0.135 0.227  0.02
F 0.650 0.130 0.197  0.00
F 0.009 0.341 0.709  0.01
F 0.130 0.650 0.197  0.00
F 0.613 0.613 0.336  0.00
F 0.341 0.009 0.709  0.01
F 0.785 0.785 0.807  0.03

---

Entry 13:
LiMoN2F after structural relaxation. Source: Alexandria via LeMat-Bulk, functional GGA+U.

## Properties
- Relative energy among the computed polymorphs: 1037 meV/atom
- Density: 5.4 g cm⁻³
- Space group: P4/mmm, No. 123
- Volume: 9.1 A^3/atom

abc: 3.725 3.725 3.295
angles: 90.00 90.00 90.00
Site moments in Bohr magnetons follow the coordinates.
Sites, in units of the cell vectors:
Mo 0.500 0.500 0.500  0.05
N 0.000 0.500 0.000  0.48
N 0.500 0.000 0.000  0.48
Li 0.000 0.000 0.000  0.04
F 0.000 0.000 0.500  0.10

---

Entry 14:
LiMoN2F after structural relaxation. Source: Alexandria via LeMat-Bulk, functional GGA+U.

## Properties
- Relative energy among the computed polymorphs: 0 meV/atom
- Density: 3.9 g cm⁻³
- Space group: P4/mmm, No. 123
- Volume: 12.9 A^3/atom

abc: 3.927 3.927 4.172
angles: 90.00 90.00 90.00
Sites, in units of the cell vectors:
Mo 0.000 0.000 0.000
N 0.000 0.500 0.000
N 0.500 0.000 0.000
Li 0.500 0.500 0.500
F 0.000 0.000 0.500

---

Entry 15:
Na2Li3MoF12 after structural relaxation. Source: Alexandria via LeMat-Bulk, functional GGA+U.

## Properties
- Density: 2.1 g cm⁻³
- Total energy: -0.1631 Ha/atom
- Space group: R-3m, No. 166
- Volume: 17.1 A^3/atom

abc: 9.430 9.430 9.430
angles: 39.69 39.69 39.69
Site moments in Bohr magnetons follow the coordinates.
Sites, in units of the cell vectors:
Na 0.556 0.556 0.556  0.00
Na 0.444 0.444 0.444  0.00
Li 0.500 0.000 0.000  0.00
Li 0.000 0.500 0.000  0.00
Li 0.000 0.000 0.500  0.00
Mo 0.000 0.000 0.000  -0.09
F 0.344 0.344 0.908  0.15
F 0.904 0.904 0.317  0.00
F 0.317 0.904 0.904  0.00
F 0.908 0.344 0.344  0.15
F 0.904 0.317 0.904  0.00
F 0.344 0.908 0.344  0.15
F 0.656 0.656 0.092  0.15
F 0.096 0.096 0.683  0.00
F 0.683 0.096 0.096  0.00
F 0.092 0.656 0.656  0.15
F 0.096 0.683 0.096  0.00
F 0.656 0.092 0.656  0.15

---

Entry 16:
NaLi2MoF6 after structural relaxation. Source: Alexandria via LeMat-Bulk, functional GGA+U.

## Properties
- Relative energy among the computed polymorphs: 0 meV/atom
- Density: 3.3 g cm⁻³
- Space group: P1, No. 1
- Volume: 12.5 A^3/atom

abc: 5.408 5.409 5.865
angles: 62.46 62.34 59.94
Site moments in Bohr magnetons follow the coordinates.
Sites, in units of the cell vectors:
Na 0.812 0.812 0.563  0.00
Li 0.534 0.534 0.394  0.00
Li 0.022 0.025 0.930  0.00
Mo 0.321 0.321 0.038  2.78
F 0.590 0.245 0.252  0.02
F 0.246 0.912 0.252  0.02
F 0.911 0.587 0.254  0.02
F 0.378 0.727 0.779  0.02
F 0.727 0.119 0.777  0.02
F 0.120 0.379 0.776  0.02

---

Entry 17:
NaLi2MoF8 after structural relaxation. Source: Alexandria via LeMat-Bulk, functional GGA+U.

## Properties
- Density: 3.1 g cm⁻³
- Total energy: -0.1811 Ha/atom
- Space group: I-4m2, No. 119
- Volume: 12.8 A^3/atom

abc: 5.851 5.851 5.851
angles: 107.48 107.48 113.54
Site moments in Bohr magnetons follow the coordinates.
Sites, in units of the cell vectors:
Na 0.250 0.750 0.500  0.00
Li 0.750 0.250 0.500  0.00
Li 0.500 0.500 0.000  0.00
Mo 0.000 0.000 0.000  0.98
F 0.365 0.084 0.281  0.01
F 0.264 0.433 0.169  -0.01
F 0.264 0.096 0.831  -0.01
F 0.803 0.084 0.719  0.01
F 0.904 0.736 0.169  -0.01
F 0.916 0.197 0.281  0.01
F 0.916 0.635 0.719  0.01
F 0.567 0.736 0.831  -0.01

---

Entry 18:
NaLi2MoF6 after structural relaxation. Source: Alexandria via LeMat-Bulk, functional GGA+U.

## Properties
- Relative energy among the computed polymorphs: 291 meV/atom
- Density: 2.7 g cm⁻³
- Space group: Fm-3m, No. 225
- Volume: 15.3 A^3/atom

abc: 6.001 6.001 6.001
angles: 60.00 60.00 60.00
Site moments in Bohr magnetons follow the coordinates.
Sites, in units of the cell vectors:
Na 0.500 0.500 0.500  0.00
Li 0.750 0.750 0.750  0.00
Li 0.250 0.250 0.250  0.00
Mo 0.000 0.000 0.000  2.76
F 0.756 0.244 0.244  0.02
F 0.244 0.244 0.756  0.02
F 0.244 0.756 0.756  0.02
F 0.244 0.756 0.244  0.02
F 0.756 0.244 0.756  0.02
F 0.756 0.756 0.244  0.02

---

Entry 19:
NaLiMoF6 after structural relaxation. Source: Alexandria via LeMat-Bulk, functional GGA+U.

## Properties
- Density: 3.2 g cm⁻³
- Total energy: -0.1881 Ha/atom
- Space group: P-31c, No. 163
- Volume: 13.7 A^3/atom

abc: 5.330 5.330 10.023
angles: 90.00 90.00 120.00
Site moments in Bohr magnetons follow the coordinates.
Sites, in units of the cell vectors:
Na 0.000 0.000 0.000  0.00
Na 0.000 0.000 0.500  0.00
Li 0.333 0.667 0.250  0.00
Li 0.667 0.333 0.750  0.00
Mo 0.667 0.333 0.250  1.87
Mo 0.333 0.667 0.750  1.87
F 0.650 0.638 0.139  0.02
F 0.988 0.350 0.139  0.02
F 0.350 0.988 0.639  0.02
F 0.012 0.650 0.861  0.02
F 0.362 0.350 0.361  0.02
F 0.988 0.638 0.361  0.02
F 0.638 0.988 0.861  0.02
F 0.650 0.012 0.361  0.02
F 0.012 0.362 0.639  0.02
F 0.362 0.012 0.139  0.02
F 0.638 0.650 0.639  0.02
F 0.350 0.362 0.861  0.02

---

Entry 20:
Na3Li2MoF9 after structural relaxation. Source: Alexandria via LeMat-Bulk, functional GGA+U.

## Properties
- Density: 2.9 g cm⁻³
- Total energy: -0.1766 Ha/atom
- Space group: P-3m1, No. 164
- Volume: 13.2 A^3/atom

abc: 5.568 5.568 7.354
angles: 90.00 90.00 120.00
Site moments in Bohr magnetons follow the coordinates.
Sites, in units of the cell vectors:
Na 0.333 0.667 0.782  0.00
Na 0.000 0.000 0.000  0.00
Na 0.667 0.333 0.218  0.00
Li 0.333 0.667 0.147  0.00
Li 0.667 0.333 0.853  0.00
Mo 0.000 0.000 0.500  1.86
F 0.838 0.162 0.669  0.02
F 0.838 0.676 0.669  0.02
F 0.324 0.162 0.669  0.02
F 0.676 0.838 0.331  0.02
F 0.162 0.324 0.331  0.02
F 0.162 0.838 0.331  0.02
F 0.500 0.000 0.000  0.00
F 0.000 0.500 0.000  0.00
F 0.500 0.500 0.000  0.00